1.
First-principles (PBE-GGA) data for a relaxed structure of KAcPd2O4, as listed in Alexandria.

The space group is P4/mmm (No. 123) and the conventional cell measures 4.110, 4.110 and 7.542 Å, with angles of 90.00, 90.00 and 90.00 degrees. Symmetry generates all atoms from K at (0.000, 0.000, 0.000), Ac at (0.000, 0.000, 0.500), Pd at (0.500, 0.500, 0.243) and O at (0.000, 0.500, 0.288).

=====

2.
First-principles (PBE-GGA) data for a relaxed structure of CdIn6Ag10, as listed in Alexandria.

As for the formation energy: 0.7 eV per formula unit.

The space group is P-31m (No. 162) and the conventional cell measures 8.2618, 8.2618 and 5.8916 Å, with angles of 90.00, 90.00 and 120.00 degrees. Symmetry generates all atoms from Cd at (0.0000, 0.0000, 0.0000), In at (0.0000, 0.3588, 0.1918), Ag at (0.0000, 0.2947, 0.6699), Ag at (0.3333, 0.6667, 0.0000) and Ag at (0.3333, 0.6667, 0.5000).

=====

3.
First-principles (PBE-GGA) data for a relaxed structure of Rb2AgMoS4, as listed in Alexandria.

The space group is Fddd (No. 70, origin choice 2) and the conventional cell measures 5.869, 13.852 and 23.917 Å, with angles of 90.00, 90.00 and 90.00 degrees. Symmetry generates all atoms from Rb at (0.125, 0.125, 0.303), Ag at (0.125, 0.125, 0.125), Mo at (0.125, 0.125, 0.625) and S at (0.088, 0.277, 0.820).

=====

4.
First-principles (PBE-GGA) data for a relaxed structure of RbAcCe2Te4, as listed in Alexandria.

The space group is P2/m (No. 10) and the conventional cell measures 8.106, 4.604 and 8.297 Å, with angles of 90.00, 108.30 and 90.00 degrees. Symmetry generates all atoms from Rb at (0.000, 0.000, 0.000), Ac at (0.500, 0.500, 0.000), Ce at (0.000, 0.500, 0.500), Ce at (0.500, 0.000, 0.500), Te at (0.250, 0.000, 0.733) and Te at (0.267, 0.500, 0.274).

=====

5.
First-principles (PBE-GGA) data for a relaxed structure of NdSm2Dy4, as listed in Alexandria.

As for the formation energy: 0.3 eV per formula unit. For the offset from the most stable computed form, the calculation gives 0 meV per atom.

The space group is C2/m (No. 12) and the conventional cell measures 16.834, 3.553 and 8.814 Å, with angles of 90.00, 119.68 and 90.00 degrees. Symmetry generates all atoms from Nd at (0.000, 0.000, 0.000), Sm at (0.069, 0.000, 0.428), Dy at (0.145, 0.500, 0.841) and Dy at (0.206, 0.500, 0.294).

=====

6.
First-principles (PBE-GGA) data for a relaxed structure of TbPm3Ho2Er6, as listed in Alexandria.

As for the formation energy: 0.2 eV per formula unit.

The space group is C2/m (No. 12) and the conventional cell measures 6.155, 10.653 and 11.720 Å, with angles of 90.00, 100.05 and 90.00 degrees. Symmetry generates all atoms from Tb at (0.000, 0.000, 0.000), Pm at (0.000, 0.167, 0.500), Pm at (0.000, 0.500, 0.500), Ho at (0.000, 0.333, 0.000), Er at (0.249, 0.167, 0.247) and Er at (0.249, 0.500, 0.247).

=====

7.
First-principles (PBE-GGA) data for a relaxed structure of Cs2KGaH6, as listed in Alexandria.

The space group is P-3m1 (No. 164) and the conventional cell measures 6.2260, 6.2260 and 6.4033 Å, with angles of 90.00, 90.00 and 120.00 degrees. Symmetry generates all atoms from Cs at (0.3333, 0.6667, 0.1564), K at (0.0000, 0.0000, 0.5000), Ga at (0.0000, 0.0000, 0.0000) and H at (0.1358, 0.2716, 0.8359).

=====

8.
First-principles (PBE-GGA) data for a relaxed structure of NaLa2GeF, as listed in Alexandria.

The space group is P4/mmm (No. 123) and the conventional cell measures 5.820, 5.820 and 5.442 Å, with angles of 90.00, 90.00 and 90.00 degrees. Symmetry generates all atoms from Na at (0.000, 0.000, 0.000), La at (0.000, 0.500, 0.500), Ge at (0.000, 0.000, 0.500) and F at (0.500, 0.500, 0.000).

=====

9.
First-principles (PBE-GGA) data for a relaxed structure of Al2NiN3, as listed in Alexandria.

The space group is Cmc2_1 (No. 36) and the conventional cell measures 9.418, 5.491 and 4.965 Å, with angles of 90.00, 90.00 and 90.00 degrees. Symmetry generates all atoms from Al at (0.169, 0.160, 0.000), Ni at (0.000, 0.358, 0.498), N at (0.000, 0.318, 0.128) and N at (0.170, 0.165, 0.620).

=====

10.
First-principles (PBE-GGA) data for a relaxed structure of PuGa3, as listed in Alexandria.

As for the formation energy: -1.5 eV per formula unit.

The space group is P6_3/mmc (No. 194) and the conventional cell measures 6.2168, 6.2168 and 4.6622 Å, with angles of 90.00, 90.00 and 120.00 degrees. Symmetry generates all atoms from Pu at (0.3333, 0.6667, 0.2500) and Ga at (0.1527, 0.3054, 0.7500).

=====

Number 1: DFT total energy -5.965 eV/atom, calculated volume 127.39 Å³/f.u.. Number 2: DFT total energy -2.656 eV/atom, calculated volume 348.26 Å³/f.u.. Number 3: DFT total energy -4.762 eV/atom, calculated volume 243.06 Å³/f.u.. Number 4: DFT total energy -5.033 eV/atom, calculated volume 293.98 Å³/f.u.. Number 5: DFT total energy -4.619 eV/atom, calculated volume 229.04 Å³/f.u.. Number 6: DFT total energy -4.599 eV/atom, calculated volume 378.32 Å³/f.u.. Number 7: DFT total energy -2.723 eV/atom, calculated volume 214.96 Å³/f.u.. Number 8: DFT total energy -3.986 eV/atom, calculated volume 184.31 Å³/f.u.. Number 9: DFT total energy -6.940 eV/atom, calculated volume 64.18 Å³/f.u.. Number 10: DFT total energy -6.220 eV/atom, calculated volume 78.02 Å³/f.u..